No. 1
La2MnNi3Ge4 | PBE | optimized geometry

Computed properties:
The value obtained for the formation energy from the elements is -6.41 eV/f.u. The space-group type is P-4m2, No. 115.

Structure (POSCAR):
```
La2MnNi3Ge4
1.0
-0.683 -0.201 -4.137
-0.435 -4.166 0.274
-9.895 1.136 1.578
Ni La Ge Mn
3 2 4 1
Direct
0.500 0.000 0.878
0.000 0.000 0.500
0.000 0.500 0.122
0.000 0.500 0.756
0.500 0.000 0.244
0.500 0.500 0.000
0.000 0.500 0.366
0.500 0.000 0.634
0.000 0.000 0.000
0.500 0.500 0.500
```

No. 2
CrBr2N | PBE | optimized geometry

Computed properties:
The value obtained for the energy above the most stable polymorph in this dataset is 0.3478 eV per atom. The space-group type is I-42d, No. 122. The calculation puts the uncorrected formation energy at 6.11 eV per formula unit.

Structure (POSCAR):
```
CrBr2N
1.0
-4.280 -0.521 4.018
0.061 -5.852 -0.693
1.067 -3.548 4.998
Br N Cr
4 2 2
Direct
0.110 0.625 0.250
0.875 0.890 0.750
0.640 0.125 0.250
0.375 0.360 0.750
0.250 0.750 0.500
0.500 0.500 0.000
0.750 0.250 0.500
0.000 0.000 0.000
```

No. 3
MgCo3Ge3 | PBE | optimized geometry

Computed properties:
The value obtained for the energy above the most stable polymorph in this dataset is 0.3999 eV per atom. The value obtained for the formation energy from the elements is 2.37 eV/f.u. The space-group type is Pm-3n, No. 223.

Structure (POSCAR):
```
MgCo3Ge3
1.0
-2.329 5.870 -1.000
-5.372 -2.534 -2.366
-2.568 -0.021 5.855
Ge Mg Co
6 2 6
Direct
0.250 0.500 0.000
0.500 0.000 0.750
0.000 0.750 0.500
0.000 0.250 0.500
0.500 0.000 0.250
0.750 0.500 0.000
0.000 0.000 0.000
0.500 0.500 0.500
0.500 0.250 0.000
0.000 0.500 0.250
0.250 0.000 0.500
0.000 0.500 0.750
0.500 0.750 0.000
0.750 0.000 0.500
```

No. 4
MgHN2F | PBE | optimized geometry

Computed properties:
The value obtained for the energy above the most stable polymorph in this dataset is 0.0000 eV per atom. The space-group type is P4/mmm, No. 123.

Structure (POSCAR):
```
MgHN2F
1.0
2.922 0.000 0.000
0.000 2.922 0.000
0.000 0.000 4.591
Mg N H F
1 2 1 1
Direct
0.500 0.500 0.500
0.500 0.000 0.000
0.000 0.500 0.000
0.000 0.000 0.000
0.000 0.000 0.500
```

No. 5
Tb4ErAl | PBE | optimized geometry

Computed properties:
The value obtained for the energy above the most stable polymorph in this dataset is 0.0823 eV per atom. The value obtained for the formation energy from the elements is -0.21 eV/f.u. The space-group type is C2/c, No. 15.

Structure (POSCAR):
```
Tb4ErAl
1.0
-2.674 3.816 -4.146
-5.747 -5.942 3.396
2.642 5.483 5.455
Tb Al Er
8 2 2
Direct
0.240 0.284 0.370
0.041 0.164 0.767
0.760 0.716 0.630
0.774 0.397 0.233
0.630 0.086 0.370
0.370 0.914 0.630
0.226 0.603 0.767
0.959 0.836 0.233
0.249 0.999 0.999
0.751 0.001 0.001
0.659 0.409 0.817
0.341 0.591 0.183
```

No. 6
Sr2IrBr | PBE | optimized geometry

Computed properties:
The value obtained for the energy above the most stable polymorph in this dataset is 0.0064 eV per atom. The space-group type is R-3m, No. 166. The calculation puts the uncorrected formation energy at -3.21 eV per formula unit.

Structure (POSCAR):
```
Sr2IrBr
1.0
-1.719 -2.186 3.364
1.822 -3.733 1.341
4.471 1.911 6.364
Ir Sr Br
1 2 1
Direct
0.250 0.250 0.250
0.513 0.513 0.459
0.987 0.987 0.041
0.750 0.750 0.750
```

No. 7
Y2CuReC | PBE | optimized geometry

Computed properties:
The value obtained for the formation energy from the elements is -0.69 eV/f.u. The space-group type is P4/mmm, No. 123.

Structure (POSCAR):
```
Y2CuReC
1.0
-4.818 -0.892 -0.717
1.075 -2.471 -4.154
0.310 -3.331 2.062
Y Cu C Re
2 1 1 1
Direct
0.500 0.000 0.000
0.000 0.500 0.000
0.500 0.500 0.500
0.000 0.000 0.000
0.000 0.000 0.500
```

No. 8
Dy12Sc5Al2 | PBE | optimized geometry

Computed properties:
The value obtained for the formation energy from the elements is 0.73 eV/f.u. The space-group type is C2/m, No. 12.

Structure (POSCAR):
```
Dy12Sc5Al2
1.0
-6.023 3.704 5.713
-2.091 -6.491 -5.228
2.447 -5.072 5.868
Sc Dy Al
5 12 2
Direct
0.313 0.625 0.982
0.231 0.463 0.575
0.000 0.000 0.500
0.769 0.537 0.425
0.687 0.375 0.018
0.958 0.291 0.228
0.917 0.834 0.124
0.668 0.709 0.772
0.556 0.111 0.325
0.444 0.889 0.675
0.175 0.747 0.332
0.332 0.291 0.228
0.083 0.166 0.876
0.572 0.747 0.332
0.428 0.253 0.668
0.042 0.709 0.772
0.825 0.253 0.668
0.663 0.000 0.000
0.337 0.000 0.000
```

No. 9
TaP2W | PBE | optimized geometry

Computed properties:
The value obtained for the formation energy from the elements is -2.03 eV/f.u. The space-group type is P4mm, No. 99.

Structure (POSCAR):
```
TaP2W
1.0
-2.513 1.722 1.076
-0.134 -1.848 2.647
3.542 3.520 2.637
W Ta P
1 1 2
Direct
0.500 0.500 0.800
0.000 0.000 0.455
0.500 0.500 0.265
0.000 0.000 0.981
```

No. 10
La5PaIr4 | PBE | optimized geometry

Computed properties:
The value obtained for the formation energy from the elements is -6.76 eV/f.u. The space-group type is C2/m, No. 12.

Structure (POSCAR):
```
La5PaIr4
1.0
-3.115 3.106 -0.219
-2.148 -1.655 7.076
8.259 5.105 -0.790
Ir Pa La
4 1 5
Direct
0.009 0.794 0.018
0.356 0.004 0.712
0.644 0.996 0.288
0.991 0.206 0.982
0.500 0.000 0.000
0.160 0.270 0.320
0.176 0.791 0.351
0.840 0.730 0.680
0.824 0.209 0.649
0.500 0.500 0.000
```

No. 11
Tb9SmDy2 | PBE | optimized geometry

Computed properties:
The value obtained for the energy above the most stable polymorph in this dataset is 0.0231 eV per atom. The value obtained for the formation energy from the elements is 0.51 eV/f.u. The space-group type is P6/mmm, No. 191.

Structure (POSCAR):
```
Tb9SmDy2
1.0
3.507 0.000 0.000
0.000 11.263 0.000
0.000 -5.632 9.754
Tb Dy Sm
9 2 1
Direct
0.000 0.500 0.000
0.500 0.353 0.177
0.500 0.177 0.823
0.500 0.647 0.823
0.000 0.500 0.500
0.000 0.000 0.500
0.500 0.177 0.353
0.500 0.823 0.177
0.500 0.823 0.647
0.000 0.333 0.667
0.000 0.667 0.333
0.000 0.000 0.000
```

No. 12
NdTm4 | PBE | optimized geometry

Computed properties:
The value obtained for the energy above the most stable polymorph in this dataset is 0.1885 eV per atom. The value obtained for the formation energy from the elements is 1.00 eV/f.u. The space-group type is P2/c, No. 13.

Structure (POSCAR):
```
NdTm4
1.0
-0.552 -3.650 4.843
5.884 0.922 -1.954
0.710 7.296 5.579
Nd Tm
2 8
Direct
0.750 0.000 0.116
0.250 0.000 0.884
0.000 0.258 0.439
0.931 0.335 0.815
0.069 0.665 0.185
0.569 0.665 0.815
0.500 0.742 0.439
0.500 0.258 0.561
0.000 0.742 0.561
0.431 0.335 0.185
```

No. 13
PbSeBr2 | PBE | optimized geometry

Computed properties:
The value obtained for the energy above the most stable polymorph in this dataset is 0.3321 eV per atom. The space-group type is P2/m, No. 10. The calculation puts the uncorrected formation energy at -0.53 eV per formula unit.

Structure (POSCAR):
```
PbSeBr2
1.0
-0.165 -3.972 -2.453
2.971 -2.290 3.508
-3.860 -1.676 2.973
Se Pb Br
1 1 2
Direct
0.500 0.750 0.750
0.500 0.250 0.250
0.000 0.503 0.503
0.000 0.997 0.997
```

No. 14
Co3Te | PBE | optimized geometry

Computed properties:
The space-group type is R-3m, No. 166. The calculation puts the uncorrected formation energy at 2.13 eV per formula unit.

Structure (POSCAR):
```
Co3Te
1.0
-3.853 -2.876 0.016
2.482 0.173 -4.115
2.610 0.047 4.038
Co Te
3 1
Direct
0.000 0.000 0.000
0.500 0.000 0.500
0.500 0.500 0.000
0.000 0.500 0.500
```

No. 15
NaGaSe2 | PBE | optimized geometry

Computed properties:
The space-group type is P4/mmm, No. 123. The calculation puts the uncorrected formation energy at -1.50 eV per formula unit.

Structure (POSCAR):
```
NaGaSe2
1.0
-6.947 -2.264 -2.387
2.507 -7.255 -0.419
-3.032 -5.200 1.377
Se Na Ga
4 2 2
Direct
0.250 0.250 0.000
0.750 0.250 0.000
0.750 0.750 0.000
0.250 0.750 0.000
0.750 0.250 0.500
0.250 0.750 0.500
0.250 0.250 0.500
0.750 0.750 0.500
```

No. 16
SrZrCo2 | PBE | optimized geometry

Computed properties:
The value obtained for the energy above the most stable polymorph in this dataset is 0.1443 eV per atom. The value obtained for the formation energy from the elements is 0.83 eV/f.u. The space-group type is R-3m, No. 166.

Structure (POSCAR):
```
SrZrCo2
1.0
4.274 -0.096 -0.014
2.225 3.650 -0.014
2.187 1.196 5.604
Zr Co Sr
1 2 1
Direct
0.750 0.750 0.750
0.446 0.446 0.662
0.054 0.054 0.838
0.250 0.250 0.250
```

No. 17
Ag2HgW | PBE | optimized geometry

Computed properties:
The value obtained for the formation energy from the elements is 2.87 eV/f.u. The space-group type is Imm2, No. 44.

Structure (POSCAR):
```
Ag2HgW
1.0
5.903 0.003 -0.001
2.994 5.088 0.001
-3.655 -3.931 2.456
W Hg Ag
1 1 2
Direct
0.248 0.748 0.500
0.497 0.497 0.000
0.753 0.253 0.500
0.003 0.003 0.000
```

No. 18
Sr3LiGa2 | PBE | optimized geometry

Computed properties:
The value obtained for the formation energy from the elements is -1.53 eV/f.u. The space-group type is P2_1/c, No. 14.

Structure (POSCAR):
```
Sr3LiGa2
1.0
6.076 0.000 -1.937
0.000 12.982 0.000
0.839 0.000 9.669
Sr Li Ga
12 4 8
Direct
0.305 0.703 0.715
0.648 0.418 0.893
0.805 0.797 0.215
0.750 0.090 0.986
0.250 0.910 0.014
0.695 0.297 0.285
0.250 0.410 0.486
0.750 0.590 0.514
0.195 0.203 0.785
0.852 0.918 0.607
0.352 0.582 0.107
0.148 0.082 0.393
0.136 0.343 0.089
0.364 0.843 0.411
0.636 0.157 0.589
0.864 0.657 0.911
0.396 0.971 0.697
0.685 0.849 0.883
0.896 0.529 0.197
0.604 0.029 0.303
0.104 0.471 0.803
0.185 0.651 0.383
0.315 0.151 0.117
0.815 0.349 0.617
```

No. 19
LaAl3Ge3 | PBE | optimized geometry

Computed properties:
The value obtained for the energy above the most stable polymorph in this dataset is 0.2896 eV per atom. The value obtained for the formation energy from the elements is -0.18 eV/f.u. The space-group type is Pm-3n, No. 223.

Structure (POSCAR):
```
LaAl3Ge3
1.0
6.999 0.000 0.000
0.000 6.999 0.000
0.000 0.000 6.999
Ge La Al
6 2 6
Direct
0.000 0.500 0.750
0.500 0.750 0.000
0.000 0.500 0.250
0.250 0.000 0.500
0.500 0.250 0.000
0.750 0.000 0.500
0.000 0.000 0.000
0.500 0.500 0.500
0.000 0.750 0.500
0.250 0.500 0.000
0.750 0.500 0.000
0.500 0.000 0.250
0.000 0.250 0.500
0.500 0.000 0.750
```

No. 20
Sr2PHN | PBE | optimized geometry

Computed properties:
The value obtained for the final energy is -3.911 eV per atom. The space-group type is P4/mmm, No. 123.

Structure (POSCAR):
```
Sr2PHN
1.0
-5.238 -2.046 0.920
0.733 -2.894 -2.261
1.946 -2.983 4.448
N H P Sr
1 1 1 2
Direct
0.000 0.500 0.000
0.500 0.500 0.500
0.000 0.000 0.000
0.500 0.000 0.000
0.000 0.000 0.500
```

No. 21
YHo2Lu | PBE | optimized geometry

Computed properties:
The value obtained for the energy above the most stable polymorph in this dataset is 0.1098 eV per atom. The value obtained for the formation energy from the elements is 0.55 eV/f.u. The space-group type is Fm-3m, No. 225.

Structure (POSCAR):
```
YHo2Lu
1.0
5.622 0.000 0.000
2.811 4.868 0.000
2.811 1.623 4.590
Ho Y Lu
2 1 1
Direct
0.750 0.750 0.750
0.250 0.250 0.250
0.500 0.500 0.500
0.000 0.000 0.000
```

No. 22
ErPtAu4 | PBE | optimized geometry

Computed properties:
The value obtained for the formation energy from the elements is -2.30 eV/f.u. The space-group type is F-43m, No. 216.

Structure (POSCAR):
```
ErPtAu4
1.0
-4.225 2.781 2.089
-1.815 -1.153 5.033
0.813 3.553 4.083
Au Pt Er
4 1 1
Direct
0.625 0.625 0.625
0.625 0.126 0.625
0.126 0.625 0.625
0.625 0.625 0.126
0.250 0.250 0.250
0.000 0.000 0.000
```

No. 23
TeRh2 | PBE | optimized geometry

Computed properties:
The value obtained for the energy above the most stable polymorph in this dataset is 0.1828 eV per atom. The space-group type is C2/m, No. 12. The calculation puts the uncorrected formation energy at 0.04 eV per formula unit.

Structure (POSCAR):
```
TeRh2
1.0
-4.073 -1.445 -2.558
-1.607 -3.758 -2.918
-4.075 -4.870 3.382
Rh Te
4 2
Direct
0.354 0.354 0.014
0.324 0.324 0.622
0.676 0.676 0.378
0.646 0.646 0.986
0.020 0.020 0.725
0.980 0.980 0.275
```

No. 24
Pm2NdClO4 | PBE | optimized geometry

Computed properties:
The space-group type is P4/mmm, No. 123. The calculation puts the uncorrected formation energy at -25.21 eV per formula unit.

Structure (POSCAR):
```
Pm2NdClO4
1.0
4.024 0.000 0.000
0.000 4.024 0.000
0.000 0.000 9.297
O Cl Nd Pm
4 1 1 2
Direct
0.500 0.000 0.843
0.000 0.500 0.157
0.500 0.000 0.157
0.000 0.500 0.843
0.000 0.000 0.500
0.000 0.000 0.000
0.500 0.500 0.264
0.500 0.500 0.736
```

Calculated calculated volume (Å³/f.u.), listed in the same order as above: 178, 80, 131, 39, 178, 125, 96, 538, 59, 284, 385, 159, 123, 56, 87, 89, 74, 196, 171, 122, 126, 116, 52, 151
Calculated density of states at the Fermi level (states/eV/atom), listed in the same order as above: 0.766, 2.200, 0.850, 0.426, 1.315, 0.575, 0.522, 1.608, 0.395, 0.911, 1.333, 1.812, 0.752, 1.761, 0.363, 0.844, 0.690, 0.649, 0.591, 0.597, 2.466, 0.606, 0.918, 0.000
Calculated M_tot (Bohr magnetons per cell), listed in the same order as above: 2.915, 0.000, 0.000, 0.076, 0.000, 0.000, 0.000, 0.001, 0.000, 0.000, 0.000, 0.000, 0.297, 4.013, 0.000, 0.001, 0.000, 0.000, 0.499, 0.398, 0.000, 0.000, 0.000, 0.000